First-principles (PBE with a Hubbard U) data for crystalline LaVF2 at its relaxed geometry, as listed in the Alexandria database.

Computed properties:
Excess energy over the best structure of this formula in the dataset: 455.4 meV per atom
V: 17.04 Å³/atom
Theoretical density: 5.55 Mg/m³
Symmetry: No. 225

a b c (Å): 4.585 4.585 4.585
angles (deg): 60.00 60.00 60.00
Site moments in Bohr magnetons follow the coordinates.
Positions (direct):
F: 0.750 0.750 0.750  0.09
F: 0.250 0.250 0.250  0.09
V: 0.000 0.000 0.000  3.63
La: 0.500 0.500 0.500  0.73